Compound: TbErLuHg
Source: the Alexandria database
Functional: PBE
Structure: optimized geometry

```
4
Lattice="5.362 0.000 0.000 2.681 4.644 0.000 2.681 1.548 4.378" Properties=species:S:1:pos:R:3 pbc="T T T"
Tb 8.043 4.644 3.284
Lu 5.362 3.096 2.189
Hg 0.000 0.000 0.000
Er 2.681 1.548 1.095
```

Computed properties:
spin magnetization = 0.2 μB/f.u.
space group = F-43m
E = -14.250 eV per formula unit
energy of formation from the pure elements = -0.2 eV per formula unit

Compound: ErTmLuHg
Source: the Alexandria database
Functional: PBE
Structure: optimized geometry

```
4
Lattice="-1.749 -4.941 0.987 -1.581 -3.123 -4.024 2.950 -4.208 -1.427" Properties=species:S:1:pos:R:3 pbc="T T T"
Er 0.000 0.000 0.000
Tm -0.190 -6.135 -2.232
Lu -0.285 -9.203 -3.348
Hg -0.095 -3.068 -1.116
```

Computed properties:
spin magnetization = 0.5 μB/f.u.
space group = F-43m
E = -14.040 eV per formula unit
energy of formation from the pure elements = -0.2 eV per formula unit

Compound: ErLuZnHg
Source: the Alexandria database
Functional: PBE
Structure: optimized geometry

```
4
Lattice="5.093 0.000 0.000 2.546 4.410 0.000 2.546 1.470 4.158" Properties=species:S:1:pos:R:3 pbc="T T T"
Lu 7.639 4.410 3.119
Hg 5.093 2.940 2.079
Zn 0.000 0.000 0.000
Er 2.546 1.470 1.040
```

Computed properties:
spin magnetization = 0.0 μB/f.u.
space group = F-43m
E = -12.255 eV per formula unit
energy of formation from the pure elements = -1.6 eV per formula unit

Compound: Er2Mg3Hg4
Source: the Alexandria database
Functional: PBE
Structure: optimized geometry

```
9
Lattice="4.998 0.000 0.002 2.498 4.334 0.176 0.001 -0.336 9.587" Properties=species:S:1:pos:R:3 pbc="T T T"
Mg 2.498 1.295 4.162
Mg 0.000 0.000 0.000
Mg 4.999 2.703 5.603
Hg 2.499 1.409 1.064
Hg 5.001 -0.208 6.326
Hg 4.999 2.590 8.702
Hg 2.497 4.207 3.439
Er 2.501 1.185 7.598
Er 4.997 2.813 2.167
```

Computed properties:
spin magnetization = 0.0 μB/f.u.
space group = C2/m
E = -18.258 eV per formula unit
energy of formation from the pure elements = -3.1 eV per formula unit
E above lowest polymorph = 0 meV/atom

Compound: ErMgHg2
Source: the Alexandria database
Functional: PBE
Structure: optimized geometry

```
4
Lattice="-0.703 -1.087 3.357 -2.545 -2.472 0.594 5.038 -7.686 0.496" Properties=species:S:1:pos:R:3 pbc="T T T"
Hg 3.579 -6.136 0.691
Hg 0.370 -2.729 1.122
Er 0.900 -5.628 2.222
Mg 2.872 -10.058 3.130
```

Computed properties:
spin magnetization = 0.0 μB/f.u.
space group = R3m
E = -7.707 eV per formula unit
energy of formation from the pure elements = -0.9 eV per formula unit
E above lowest polymorph = 206 meV/atom

Compound: ErMg9Hg2
Source: the Alexandria database
Functional: PBE
Structure: optimized geometry

```
24
Lattice="-5.190 -3.778 4.100 -7.505 -2.660 -4.877 1.255 -9.252 0.140" Properties=species:S:1:pos:R:3 pbc="T T T"
Hg -9.857 -7.614 -0.036
Hg -6.104 -6.283 2.403
Hg -5.476 -10.909 2.473
Hg -6.634 -10.351 -2.015
Mg -7.199 -11.952 0.382
Mg -6.933 -5.704 -4.139
Mg -4.121 -8.355 1.955
Mg -1.385 -7.713 1.035
Mg -1.589 -4.953 -0.219
Mg 0.000 0.000 0.000
Mg -7.018 -8.789 0.706
Mg -4.378 -10.328 -0.188
Mg -5.428 -3.836 0.925
Mg -3.714 -3.355 -1.435
Mg -11.259 -12.527 -0.313
Mg -9.324 -10.353 -0.835
Mg -3.304 -5.435 2.142
Mg -7.590 -5.745 -0.032
Mg -1.642 -9.686 -1.108
Mg -9.134 -14.126 0.904
Mg -6.676 -3.732 -1.996
Mg -7.847 -7.718 -2.175
Er -4.423 -6.901 -1.343
Er -2.595 -1.889 2.050
```

Computed properties:
spin magnetization = 0.0 μB/f.u.
space group = I4_1/amd
E = -20.586 eV per formula unit
energy of formation from the pure elements = -1.1 eV per formula unit

Compound: ErMg2Hg3
Source: the Alexandria database
Functional: PBE
Structure: optimized geometry

```
6
Lattice="3.617 0.000 0.000 0.000 3.617 0.000 0.000 0.000 10.306" Properties=species:S:1:pos:R:3 pbc="T T T"
Mg 1.809 1.809 1.630
Mg 1.809 1.809 8.676
Hg 0.000 0.000 7.028
Hg 0.000 0.000 0.000
Hg 0.000 0.000 3.278
Er 1.809 1.809 5.153
```

Computed properties:
spin magnetization = 0.0 μB/f.u.
space group = P4/mmm
E = -10.594 eV per formula unit
energy of formation from the pure elements = -1.9 eV per formula unit
E above lowest polymorph = 39 meV/atom

Compound: ErMg2Hg9
Source: the Alexandria database
Functional: PBE
Structure: optimized geometry

```
12
Lattice="-1.981 0.042 -4.169 -3.616 -2.314 1.695 -5.927 11.406 2.932" Properties=species:S:1:pos:R:3 pbc="T T T"
Hg -4.771 4.546 2.313
Hg -2.798 -1.136 -1.237
Hg -2.826 0.802 1.351
Hg -2.008 1.980 -1.581
Hg -4.795 2.706 -0.250
Hg -6.729 6.428 0.707
Hg -3.954 5.724 -0.618
Hg -5.899 9.468 0.344
Hg -6.717 8.289 3.275
Mg -1.998 3.846 0.988
Mg -3.929 7.560 1.943
Er 0.000 0.000 0.000
```

Computed properties:
spin magnetization = 0.0 μB/f.u.
space group = P4/mmm
E = -12.284 eV per formula unit
energy of formation from the pure elements = -1.8 eV per formula unit

Compound: ErMg14Hg
Source: the Alexandria database
Functional: PBE
Structure: optimized geometry

```
16
Lattice="-4.014 2.681 4.704 0.536 -5.628 3.668 6.589 3.130 3.839" Properties=species:S:1:pos:R:3 pbc="T T T"
Hg 1.991 0.460 5.059
Mg -1.036 -3.919 4.973
Mg 1.184 0.393 2.048
Mg 1.446 -2.357 3.841
Mg 2.259 -2.355 6.893
Mg 4.759 -0.784 5.771
Mg -1.304 -1.105 3.139
Mg -0.778 1.703 4.347
Mg -3.311 0.235 5.491
Mg 4.497 1.966 3.978
Mg 2.798 0.526 8.069
Mg -0.016 1.800 7.411
Mg -0.515 -1.047 6.139
Mg 2.535 3.276 6.277
Mg -3.043 -2.579 7.325
Er 0.252 -1.014 9.244
```

Computed properties:
spin magnetization = 0.0 μB/f.u.
space group = P4/mmm
E = -27.446 eV per formula unit
energy of formation from the pure elements = -0.3 eV per formula unit

Compound: Er6Mg2Hg
Source: the Alexandria database
Functional: PBE
Structure: optimized geometry

```
18
Lattice="5.092 0.000 0.255 0.000 9.967 0.000 -0.499 0.000 9.952" Properties=species:S:1:pos:R:3 pbc="T T T"
Mg 4.992 6.968 2.235
Mg 2.396 1.985 3.124
Mg 2.196 7.981 7.083
Mg -0.399 2.998 7.973
Er 2.209 4.765 6.850
Er 2.058 1.748 9.864
Er -0.087 0.218 1.746
Er 2.233 1.265 6.369
Er 2.534 8.218 0.343
Er 2.384 5.201 3.358
Er 2.359 8.701 3.838
Er 4.656 6.248 8.942
Er 4.680 9.749 8.462
Er 4.831 6.732 5.447
Er -0.063 3.718 1.265
Er -0.238 3.235 4.761
Hg -0.250 0.000 4.976
Hg 2.546 4.983 0.128
```

Computed properties:
spin magnetization = 0.0 μB/f.u.
space group = P4_2/mnm
E = -31.656 eV per formula unit
energy of formation from the pure elements = -0.8 eV per formula unit

Compound: Er8MgHg2
Source: the Alexandria database
Functional: PBE
Structure: optimized geometry

```
11
Lattice="5.422 -0.250 -0.376 -1.250 8.380 -0.529 -1.250 -3.716 7.530" Properties=species:S:1:pos:R:3 pbc="T T T"
Er 0.055 2.357 0.498
Er 0.135 2.735 4.106
Er 0.055 -0.448 2.367
Er 2.867 2.057 6.127
Er 1.461 5.552 1.083
Er 1.461 -1.138 5.541
Er 2.867 4.862 4.258
Er 2.787 1.678 2.519
Hg -1.250 4.691 1.928
Hg -1.250 -0.027 5.072
Mg 2.711 -0.125 -0.188
```

Computed properties:
spin magnetization = 0.0 μB/f.u.
space group = C2/m
E = -39.266 eV per formula unit
energy of formation from the pure elements = -0.6 eV per formula unit

Compound: ErMgHg2
Source: the Alexandria database
Functional: PBE
Structure: optimized geometry

```
4
Lattice="-4.948 0.871 0.474 -2.864 -3.134 2.729 -1.882 1.515 4.431" Properties=species:S:1:pos:R:3 pbc="T T T"
Hg -7.271 -0.560 5.725
Hg -2.424 -0.187 1.908
Er -4.847 -0.374 3.817
Mg 0.000 0.000 0.000
```

Computed properties:
spin magnetization = 0.0 μB/f.u.
space group = Fm-3m
E = -8.530 eV per formula unit
energy of formation from the pure elements = -1.8 eV per formula unit
E above lowest polymorph = 0 meV/atom

Please write out number 1 again, unchanged.
Compound: TbErLuHg
Source: the Alexandria database
Functional: PBE
Structure: optimized geometry

```
4
Lattice="5.362 0.000 0.000 2.681 4.644 0.000 2.681 1.548 4.378" Properties=species:S:1:pos:R:3 pbc="T T T"
Tb 8.043 4.644 3.284
Lu 5.362 3.096 2.189
Hg 0.000 0.000 0.000
Er 2.681 1.548 1.095
```

Computed properties:
spin magnetization = 0.2 μB/f.u.
space group = F-43m
E = -14.250 eV per formula unit
energy of formation from the pure elements = -0.2 eV per formula unit

> Look up the spin magnetization of the second one.

0.5 μB/f.u.